First-principles (PBE+U) data for VP2O6 after structural relaxation, as listed in the Alexandria database.

Output
Its calculated volume is 253.9 Å³/cell. For the total magnetization, the calculation gives 3.000 μB/f.u. The density of states at the Fermi level is 0.00 states/eV per cell. The mass density is 2.7 g/cm³. Its energy above the most stable polymorph in this dataset is 0.071 eV/atom.

Unit cell a=5.5961 b=5.5961 c=8.6499 alpha=79.69 beta=79.69 gamma=74.14
Last column: magnetic moment on the atom in μB.
Fractional positions:
P1 0.1460 0.6459 0.1764  0.01
P2 0.3541 0.8540 0.3236  0.01
P3 0.6459 0.1460 0.6764  0.01
P4 0.8540 0.3541 0.8236  0.01
O1 0.0826 0.9174 0.2500  0.00
O2 0.1844 0.6843 0.0011  0.00
O3 0.4841 0.9841 0.7692  0.00
O4 0.0159 0.5159 0.7308  0.00
O5 0.5826 0.4174 0.7500  0.00
O6 0.4174 0.5826 0.2500  0.00
O7 0.5159 0.0159 0.2308  0.00
O8 0.9841 0.4841 0.2692  0.00
O9 0.3157 0.8156 0.4989  0.00
O10 0.6843 0.1844 0.5011  0.00
O11 0.9174 0.0826 0.7500  0.00
O12 0.8156 0.3157 0.9989  0.00
V1 0.7500 0.2500 0.2500  2.73
V2 0.2500 0.7500 0.7500  2.73